The following is a PBE+U calculation of an optimized crystal structure of Co2O, from Alexandria.

The structure belongs to space group Cm (No. 8); the cell edges are 10.206, 2.915 and 5.087 Å and the angles 90.00°, 113.30° and 90.00°. The distinct sites, in fractional coordinates, are Co at (0.000, 0.000, 0.000), Co at (0.035, 0.500, 0.604), Co at (0.237, 0.500, 0.102), Co at (0.282, 0.000, 0.702), O at (0.191, 0.500, 0.439) and O at (0.438, 0.500, 0.320).

For the calculated density, the calculation gives 6.398 g/cm3. The calculation puts the energy above the lowest structure with this stoichiometry at 0.032 eV per atom. The value obtained for the total energy is -62.63 eV for the cell shown.